Computed, not measured: LaPrHo2 after structural relaxation at the PBE level of DFT.

abc: 5.571 6.151 10.125
angles: 119.03 90.00 90.00
Fractional positions:
1 La 0.000 0.000 0.000
2 La 0.500 0.000 0.500
3 Pr 0.500 0.608 0.711
4 Pr 0.500 0.392 0.289
5 Ho 0.000 0.154 0.395
6 Ho 0.500 0.213 0.872
7 Ho 0.500 0.787 0.128
8 Ho 0.000 0.846 0.605

## Properties
Electronic total energy, eV/atom: -4.270
Offset from the most stable computed form, meV/atom: 432.9
Space-group type: P2/m (10)
Formation enthalpy at 0 K, eV/atom: 0.45
Calculated volume, A^3/atom: 37.92